This record from Alexandria via LeMat-Bulk describes a geometry-optimized YCdIr2Se structure. The functional is PBE.

Computed properties:
uncorrected formation energy = 0.39 eV per atom
spin magnetization = 0.00 μB per atom

CIF file:
```
data_YCdIr2Se
_chemical_formula_sum 'Y1 Cd1 Ir2 Se1'
_space_group_name_H-M_alt 'P 4/m m m'
_space_group_IT_number 123
_space_group_name_Hall '-P 4 2'
_cell_length_a 4.698
_cell_length_b 4.698
_cell_length_c 5.150
_cell_angle_alpha 90.00
_cell_angle_beta 90.00
_cell_angle_gamma 90.00
loop_
_atom_site_label
_atom_site_type_symbol
_atom_site_fract_x
_atom_site_fract_y
_atom_site_fract_z
Y1 Y 0.000 0.000 0.000
Cd1 Cd 0.500 0.500 0.000
Ir1 Ir 0.000 0.500 0.500
Se1 Se 0.000 0.000 0.500
```